A plane-wave DFT calculation with PBE-GGA was carried out for a relaxed FeWS2 crystal.

Properties
SG: Fm-3m
Energy relative to the lowest polymorph listed for this composition in kJ/mol of formula units: 89.2
Energy relative to the elements, uncorrected in eV/atom: 0.154

Cell lengths 4.1548, 4.1548, 4.1548 Å; angles 60.00, 60.00, 60.00 degrees
With the nearest neighbours (Å) after each atom.
Atoms (fractional coordinates):
1 Fe 0.0000 0.0000 0.0000  8 S 2.54
2 W 0.5000 0.5000 0.5000  8 S 2.54
3 S 0.2500 0.2500 0.2500  4 Fe 2.54, 4 W 2.54
4 S 0.7500 0.7500 0.7500  4 Fe 2.54, 4 W 2.54

---

A plane-wave DFT calculation with PBE-GGA was carried out for a relaxed Fe3WS crystal.

Properties
SG: Pm-3m
Energy relative to the lowest polymorph listed for this composition in kJ/mol of formula units: 530.0
Energy relative to the elements, uncorrected in eV/atom: 1.715

Cell lengths 4.5342, 4.5342, 4.5342 Å; angles 90.00, 90.00, 90.00 degrees
With the nearest neighbours (Å) after each atom.
Atoms (fractional coordinates):
1 Fe 0.0000 0.0000 0.5000  2 W 2.27
2 Fe 0.0000 0.5000 0.0000  2 W 2.27
3 Fe 0.5000 0.0000 0.0000  2 W 2.27
4 W 0.0000 0.0000 0.0000  6 Fe 2.27
5 S 0.5000 0.5000 0.5000  12 Fe 3.21

---

A plane-wave DFT calculation with PBE-GGA was carried out for a relaxed ZnFe2WS crystal.

Properties
SG: P4/mmm
Energy relative to the elements, uncorrected in eV/atom: 0.412

Cell lengths 4.1040, 4.1040, 4.4563 Å; angles 90.00, 90.00, 90.00 degrees
With the nearest neighbours (Å) after each atom.
Atoms (fractional coordinates):
1 Zn 0.0000 0.0000 0.0000  4 W 2.90, 8 Fe 3.03
2 Fe 0.0000 0.5000 0.5000  2 S 2.05
3 Fe 0.5000 0.0000 0.5000  2 S 2.05
4 W 0.5000 0.5000 0.0000  2 S 2.23
5 S 0.5000 0.5000 0.5000  4 Fe 2.05, 2 W 2.23

---

A plane-wave DFT calculation with PBE-GGA was carried out for a relaxed YFe2S2 crystal.

Properties
SG: I4/mmm
Energy relative to the lowest polymorph listed for this composition in kJ/mol of formula units: 0.0
Energy relative to the elements, uncorrected in eV/atom: -0.811

Cell lengths 5.9776, 5.9776, 5.9776 Å; angles 144.27, 144.27, 51.43 degrees
With the nearest neighbours (Å) after each atom.
Atoms (fractional coordinates):
1 Y 0.0000 0.0000 0.0000  8 S 3.00, 8 Fe 3.26
2 Fe 0.2500 0.7500 0.5000  4 S 2.19
3 Fe 0.7500 0.2500 0.5000  4 S 2.19
4 S 0.3604 0.3604 0.0000  4 Fe 2.19
5 S 0.6396 0.6396 0.0000  4 Fe 2.19

---

A plane-wave DFT calculation with PBE-GGA was carried out for a relaxed Y3FeS crystal.

Properties
SG: Pm-3m
Energy relative to the lowest polymorph listed for this composition in kJ/mol of formula units: 0.0
Energy relative to the elements, uncorrected in eV/atom: -0.287

Cell lengths 5.1531, 5.1531, 5.1531 Å; angles 90.00, 90.00, 90.00 degrees
With the nearest neighbours (Å) after each atom.
Atoms (fractional coordinates):
1 Y 0.0000 0.0000 0.5000  2 S 2.58
2 Y 0.0000 0.5000 0.0000  2 S 2.58
3 Y 0.5000 0.0000 0.0000  2 S 2.58
4 Fe 0.5000 0.5000 0.5000  12 Y 3.64
5 S 0.0000 0.0000 0.0000  6 Y 2.58

---

A plane-wave DFT calculation with PBE-GGA was carried out for a relaxed YFeS2 crystal.

Properties
SG: R-3m
Energy relative to the lowest polymorph listed for this composition in kJ/mol of formula units: 1.9
Energy relative to the elements, uncorrected in eV/atom: -0.929

Cell lengths 7.6735, 7.6735, 7.6735 Å; angles 30.13, 30.13, 30.13 degrees
With the nearest neighbours (Å) after each atom.
Atoms (fractional coordinates):
1 Y 0.0000 0.0000 0.0000  6 S 2.73
2 Fe 0.5000 0.5000 0.5000  2 S 2.20
3 S 0.4000 0.4000 0.4000  1 Fe 2.20
4 S 0.6000 0.6000 0.6000  1 Fe 2.20

---

A plane-wave DFT calculation with PBE-GGA was carried out for a relaxed Y2FeS crystal.

Properties
SG: I-42d
Energy relative to the elements, uncorrected in eV/atom: -0.330

Cell lengths 6.2707, 6.2707, 6.2707 Å; angles 109.19, 109.19, 110.04 degrees
With the nearest neighbours (Å) after each atom.
Atoms (fractional coordinates):
1 Y 0.1170 0.6250 0.9920  2 S 2.68, 2 Fe 2.76
2 Y 0.3750 0.3670 0.4920  2 S 2.68, 2 Fe 2.76
3 Y 0.6330 0.1250 0.0080  2 S 2.68, 2 Fe 2.76
4 Y 0.8750 0.8830 0.5080  2 S 2.68, 2 Fe 2.76
5 Fe 0.2500 0.7500 0.5000  4 Y 2.76
6 Fe 0.5000 0.5000 0.0000  4 Y 2.76
7 S 0.0000 0.0000 0.0000  4 Y 2.68
8 S 0.7500 0.2500 0.5000  4 Y 2.68

---

A plane-wave DFT calculation with PBE-GGA was carried out for a relaxed YFe2S4 crystal.

Properties
SG: Imma
Energy relative to the elements, uncorrected in eV/atom: -0.781

Cell lengths 7.2274, 7.2274, 7.2274 Å; angles 120.04, 118.86, 90.97 degrees
With the nearest neighbours (Å) after each atom.
Atoms (fractional coordinates):
1 Y 0.0000 0.0000 0.0000  6 S 2.66-2.69
2 Y 0.5000 0.0000 0.5000  6 S 2.66-2.69
3 Fe 0.0000 0.0000 0.5000  6 S 2.35-2.39
4 Fe 0.0000 0.5000 0.0000  6 S 2.35-2.39
5 Fe 0.3780 0.6280 0.7500  4 S 2.25-2.38
6 Fe 0.6220 0.3720 0.2500  4 S 2.25-2.38
7 S 0.1984 0.7361 0.4623  3 Fe 2.38-2.39
8 S 0.2262 0.2639 0.9623  3 Fe 2.38-2.39
9 S 0.2315 0.2470 0.5156  2 Fe 2.25-2.35
10 S 0.2315 0.7159 0.9844  2 Fe 2.25-2.35
11 S 0.7685 0.2841 0.0156  2 Fe 2.25-2.35
12 S 0.7685 0.7530 0.4844  2 Fe 2.25-2.35
13 S 0.7738 0.7361 0.0377  3 Fe 2.38-2.39
14 S 0.8016 0.2639 0.5377  3 Fe 2.38-2.39

---

A plane-wave DFT calculation with PBE-GGA was carried out for a relaxed YFeS3 crystal.

Properties
SG: Pm-3m
Energy relative to the elements, uncorrected in eV/atom: -0.752

Cell lengths 4.5304, 4.5304, 4.5304 Å; angles 90.00, 90.00, 90.00 degrees
With the nearest neighbours (Å) after each atom.
Atoms (fractional coordinates):
1 Y 0.0000 0.0000 0.0000  12 S 3.20
2 Fe 0.5000 0.5000 0.5000  6 S 2.27
3 S 0.0000 0.5000 0.5000  2 Fe 2.27
4 S 0.5000 0.0000 0.5000  2 Fe 2.27
5 S 0.5000 0.5000 0.0000  2 Fe 2.27

---

A plane-wave DFT calculation with PBE-GGA was carried out for a relaxed YFeS2 crystal.

Properties
SG: I-42d
Energy relative to the lowest polymorph listed for this composition in kJ/mol of formula units: 17.3
Energy relative to the elements, uncorrected in eV/atom: -0.889

Cell lengths 6.9841, 6.9841, 6.9841 Å; angles 135.19, 135.19, 65.24 degrees
With the nearest neighbours (Å) after each atom.
Atoms (fractional coordinates):
1 Y 0.0000 0.0000 0.0000  4 S 2.63
2 Y 0.7500 0.2500 0.5000  4 S 2.63
3 Fe 0.2500 0.7500 0.5000  4 S 2.19
4 Fe 0.5000 0.5000 0.0000  4 S 2.19
5 S 0.1996 0.6250 0.0746  2 Fe 2.19
6 S 0.3750 0.4496 0.5746  2 Fe 2.19
7 S 0.5504 0.1250 0.9254  2 Fe 2.19
8 S 0.8750 0.8004 0.4254  2 Fe 2.19

---

A plane-wave DFT calculation with PBE-GGA was carried out for a relaxed YFe3S crystal.

Properties
SG: Pm-3m
Energy relative to the lowest polymorph listed for this composition in kJ/mol of formula units: 0.0
Energy relative to the elements, uncorrected in eV/atom: 0.003

Cell lengths 4.1694, 4.1694, 4.1694 Å; angles 90.00, 90.00, 90.00 degrees
With the nearest neighbours (Å) after each atom.
Atoms (fractional coordinates):
1 Y 0.0000 0.0000 0.0000  12 Fe 2.95
2 Fe 0.0000 0.5000 0.5000  2 S 2.08
3 Fe 0.5000 0.0000 0.5000  2 S 2.08
4 Fe 0.5000 0.5000 0.0000  2 S 2.08
5 S 0.5000 0.5000 0.5000  6 Fe 2.08

---

A plane-wave DFT calculation with PBE-GGA was carried out for a relaxed YFeS2 crystal.

Properties
SG: Fm-3m
Energy relative to the lowest polymorph listed for this composition in kJ/mol of formula units: 0.0
Energy relative to the elements, uncorrected in eV/atom: -0.934

Cell lengths 4.6066, 4.6066, 4.6066 Å; angles 60.00, 60.00, 60.00 degrees
With the nearest neighbours (Å) after each atom.
Atoms (fractional coordinates):
1 Y 0.0000 0.0000 0.0000  8 S 2.82
2 Fe 0.5000 0.5000 0.5000  8 S 2.82
3 S 0.2500 0.2500 0.2500  4 Fe 2.82, 4 Y 2.82
4 S 0.7500 0.7500 0.7500  4 Fe 2.82, 4 Y 2.82

---

A plane-wave DFT calculation with PBE-GGA was carried out for a relaxed YFe2S2 crystal.

Properties
SG: P4/mbm
Energy relative to the lowest polymorph listed for this composition in kJ/mol of formula units: 332.4
Energy relative to the elements, uncorrected in eV/atom: -0.122

Cell lengths 6.9999, 6.9999, 3.0179 Å; angles 90.00, 90.00, 90.00 degrees
With the nearest neighbours (Å) after each atom.
Atoms (fractional coordinates):
1 Y 0.0000 0.0000 0.0000  4 S 2.69
2 Y 0.5000 0.5000 0.0000  4 S 2.69
3 Fe 0.1197 0.3803 0.5000  1 Fe 2.37, 4 S 2.38
4 Fe 0.3803 0.8803 0.5000  1 Fe 2.37, 4 S 2.38
5 Fe 0.6197 0.1197 0.5000  1 Fe 2.37, 4 S 2.38
6 Fe 0.8803 0.6197 0.5000  1 Fe 2.37, 4 S 2.38
7 S 0.1429 0.6429 0.0000  4 Fe 2.38
8 S 0.3571 0.1429 0.0000  4 Fe 2.38
9 S 0.6429 0.8571 0.0000  4 Fe 2.38
10 S 0.8571 0.3571 0.0000  4 Fe 2.38

---

A plane-wave DFT calculation with PBE-GGA was carried out for a relaxed YFe3S crystal.

Properties
SG: Pm-3m
Energy relative to the lowest polymorph listed for this composition in kJ/mol of formula units: 930.2
Energy relative to the elements, uncorrected in eV/atom: 1.932

Cell lengths 4.7749, 4.7749, 4.7749 Å; angles 90.00, 90.00, 90.00 degrees
With the nearest neighbours (Å) after each atom.
Atoms (fractional coordinates):
1 Y 0.0000 0.0000 0.0000  6 Fe 2.39
2 Fe 0.0000 0.0000 0.5000  2 Y 2.39
3 Fe 0.0000 0.5000 0.0000  2 Y 2.39
4 Fe 0.5000 0.0000 0.0000  2 Y 2.39
5 S 0.5000 0.5000 0.5000  12 Fe 3.38

---

A plane-wave DFT calculation with PBE-GGA was carried out for a relaxed YFe2S2 crystal.

Properties
SG: P4/mbm
Energy relative to the lowest polymorph listed for this composition in kJ/mol of formula units: 278.9
Energy relative to the elements, uncorrected in eV/atom: -0.233

Cell lengths 6.9055, 6.9055, 3.8732 Å; angles 90.00, 90.00, 90.00 degrees
With the nearest neighbours (Å) after each atom.
Atoms (fractional coordinates):
1 Y 0.0000 0.0000 0.0000  4 Fe 2.83, 8 S 3.17
2 Y 0.5000 0.5000 0.0000  4 Fe 2.83, 8 S 3.17
3 Fe 0.1028 0.3972 0.0000  1 Fe 2.01, 2 S 2.11
4 Fe 0.3972 0.8972 0.0000  1 Fe 2.01, 2 S 2.11
5 Fe 0.6028 0.1028 0.0000  1 Fe 2.01, 2 S 2.11
6 Fe 0.8972 0.6028 0.0000  1 Fe 2.01, 2 S 2.11
7 S 0.1894 0.3106 0.5000  2 Fe 2.11
8 S 0.3106 0.8106 0.5000  2 Fe 2.11
9 S 0.6894 0.1894 0.5000  2 Fe 2.11
10 S 0.8106 0.6894 0.5000  2 Fe 2.11

---

A plane-wave DFT calculation with PBE-GGA was carried out for a relaxed Y2ZnFeS crystal.

Properties
SG: P4/mmm
Energy relative to the elements, uncorrected in eV/atom: 0.543

Cell lengths 5.4449, 5.4449, 4.3548 Å; angles 90.00, 90.00, 90.00 degrees
With the nearest neighbours (Å) after each atom.
Atoms (fractional coordinates):
1 Y 0.0000 0.5000 0.0000  2 Zn 2.72
2 Y 0.5000 0.0000 0.0000  2 Zn 2.72
3 Zn 0.0000 0.0000 0.0000  2 S 2.18
4 Fe 0.5000 0.5000 0.5000  8 Y 3.49, 4 S 3.85
5 S 0.0000 0.0000 0.5000  2 Zn 2.18

---

A plane-wave DFT calculation with PBE-GGA was carried out for a relaxed ZnFe3S crystal.

Properties
SG: Pm-3m
Energy relative to the lowest polymorph listed for this composition in kJ/mol of formula units: 0.0
Energy relative to the elements, uncorrected in eV/atom: 0.185

Cell lengths 4.1268, 4.1268, 4.1268 Å; angles 90.00, 90.00, 90.00 degrees
With the nearest neighbours (Å) after each atom.
Atoms (fractional coordinates):
1 Zn 0.0000 0.0000 0.0000  12 Fe 2.92
2 Fe 0.0000 0.5000 0.5000  2 S 2.06
3 Fe 0.5000 0.0000 0.5000  2 S 2.06
4 Fe 0.5000 0.5000 0.0000  2 S 2.06
5 S 0.5000 0.5000 0.5000  6 Fe 2.06

---

A plane-wave DFT calculation with PBE-GGA was carried out for a relaxed Zn3FeS crystal.

Properties
SG: Pm-3m
Energy relative to the lowest polymorph listed for this composition in kJ/mol of formula units: 65.5
Energy relative to the elements, uncorrected in eV/atom: 0.843

Cell lengths 4.6456, 4.6456, 4.6456 Å; angles 90.00, 90.00, 90.00 degrees
With the nearest neighbours (Å) after each atom.
Atoms (fractional coordinates):
1 Zn 0.0000 0.0000 0.5000  2 S 2.32
2 Zn 0.0000 0.5000 0.0000  2 S 2.32
3 Zn 0.5000 0.0000 0.0000  2 S 2.32
4 Fe 0.5000 0.5000 0.5000  12 Zn 3.28
5 S 0.0000 0.0000 0.0000  6 Zn 2.32

---

A plane-wave DFT calculation with PBE-GGA was carried out for a relaxed Zn2FeS crystal.

Properties
SG: I-42d
Energy relative to the elements, uncorrected in eV/atom: 0.217

Cell lengths 5.6871, 5.6871, 5.6871 Å; angles 100.11, 100.11, 130.47 degrees
With the nearest neighbours (Å) after each atom.
Atoms (fractional coordinates):
1 Zn 0.0926 0.6250 0.9676  2 Zn 2.43, 2 S 2.49
2 Zn 0.3750 0.3426 0.4676  2 Zn 2.43, 2 S 2.49
3 Zn 0.6574 0.1250 0.0324  2 Zn 2.43, 2 S 2.49
4 Zn 0.8750 0.9074 0.5324  2 Zn 2.43, 2 S 2.49
5 Fe 0.2500 0.7500 0.5000  2 S 2.38
6 Fe 0.5000 0.5000 0.0000  2 S 2.38
7 S 0.0000 0.0000 0.0000  2 Fe 2.38, 4 Zn 2.49
8 S 0.7500 0.2500 0.5000  2 Fe 2.38, 4 Zn 2.49

---

A plane-wave DFT calculation with PBE-GGA was carried out for a relaxed ZnFe2S5 crystal.

Properties
SG: Pmmn
Energy relative to the elements, uncorrected in eV/atom: -0.244

Cell lengths 3.5480, 13.1268, 6.2904 Å; angles 90.00, 90.00, 90.00 degrees
With the nearest neighbours (Å) after each atom.
Atoms (fractional coordinates):
1 Zn 0.2500 0.2500 0.0653  6 S 2.41-2.64
2 Zn 0.7500 0.7500 0.9347  6 S 2.41-2.64
3 Fe 0.2500 0.5922 0.5047  5 S 2.20-2.33
4 Fe 0.2500 0.9078 0.5047  5 S 2.20-2.33
5 Fe 0.7500 0.0922 0.4953  5 S 2.20-2.33
6 Fe 0.7500 0.4078 0.4953  5 S 2.20-2.33
7 S 0.2500 0.0479 0.2998  3 Fe 2.24-2.25
8 S 0.2500 0.4521 0.2998  3 Fe 2.24-2.25
9 S 0.2500 0.6676 0.1931  1 S 2.16, 1 Fe 2.20
10 S 0.2500 0.7500 0.6756  2 Fe 2.33, 2 Zn 2.41
11 S 0.2500 0.8324 0.1931  1 S 2.16, 1 Fe 2.20
12 S 0.7500 0.1676 0.8069  1 S 2.16, 1 Fe 2.20
13 S 0.7500 0.2500 0.3244  2 Fe 2.33, 2 Zn 2.41
14 S 0.7500 0.3324 0.8069  1 S 2.16, 1 Fe 2.20
15 S 0.7500 0.5479 0.7002  3 Fe 2.24-2.25
16 S 0.7500 0.9521 0.7002  3 Fe 2.24-2.25